Entry 1:
First-principles (GGA-PBE) data for a relaxed structure of RbSc, as listed in Alexandria via LeMat-Bulk.

Properties
Density of states at the Fermi level, states/eV/atom: 1.637
E_form, eV/atom: 0.481
Calculated total energy, eV/atom: -3.1681
Total moment, μB/f.u.: 0.112

Geometry as POSCAR:
```
RbSc
1.0
-7.205 7.205 1.873
7.205 -7.205 1.873
7.205 7.205 -1.873
Rb Sc
4 4
Direct
0.124 0.821 0.946 Rb
0.179 0.124 0.303 Rb
0.821 0.876 0.697 Rb
0.876 0.179 0.054 Rb
0.054 0.396 0.450 Sc
0.396 0.946 0.341 Sc
0.604 0.054 0.659 Sc
0.946 0.604 0.550 Sc
```


Entry 2:
First-principles (GGA-PBE) data for a relaxed structure of LiZrP, as listed in Alexandria via LeMat-Bulk.

Properties
Density of states at the Fermi level, states/eV/atom: 0.548
E_form, eV/atom: -0.171
Calculated total energy, eV/atom: -5.4615
Total moment, μB/f.u.: 0.000

Geometry as POSCAR:
```
LiZrP
1.0
0.000 3.056 3.056
3.056 0.000 3.056
3.056 3.056 0.000
Li Zr P
1 1 1
Direct
0.000 0.000 0.000 Li
0.750 0.750 0.750 Zr
0.500 0.500 0.500 P
```


Entry 3:
First-principles (GGA-PBE) data for a relaxed structure of La2ScGaO, as listed in Alexandria via LeMat-Bulk.

Properties
E_form (uncorrected), kcal/mol of atoms: -32.2
Density of states at the Fermi level, states/eV/atom: 1.117
Calculated total energy, eV/atom: -6.2292
Total moment, μB/f.u.: 0.001

Geometry as POSCAR:
```
La2ScGaO
1.0
5.110 0.000 0.000
0.000 5.110 0.000
0.000 0.000 4.336
La Sc Ga O
2 1 1 1
Direct
0.000 0.500 0.000 La
0.500 0.000 0.000 La
0.000 0.000 0.500 Sc
0.500 0.500 0.500 Ga
0.000 0.000 0.000 O
```


Entry 4:
First-principles (GGA-PBE) data for a relaxed structure of LiTb3In6, as listed in Alexandria via LeMat-Bulk.

Properties
Density of states at the Fermi level, states/eV/atom: 0.697
E_form, eV/atom: -0.070
Calculated total energy, eV/atom: -3.2939
Total moment, μB/f.u.: 0.000

Geometry as POSCAR:
```
LiTb3In6
1.0
7.247 4.184 1.622
-7.247 4.184 1.622
0.000 -8.368 1.622
Li Tb In
1 3 6
Direct
0.000 0.000 0.000 Li
0.270 0.270 0.878 Tb
0.270 0.878 0.270 Tb
0.878 0.270 0.270 Tb
0.245 0.858 0.858 In
0.431 0.431 0.638 In
0.431 0.638 0.431 In
0.638 0.431 0.431 In
0.858 0.245 0.858 In
0.858 0.858 0.245 In
```


Entry 5:
First-principles (GGA-PBE) data for a relaxed structure of La2Ru, as listed in Alexandria via LeMat-Bulk.

Properties
Density of states at the Fermi level, states/eV/atom: 0.516
E_form, eV/atom: -0.222
Calculated total energy, eV/atom: -6.5991
Total moment, μB/f.u.: 0.000

Geometry as POSCAR:
```
La2Ru
1.0
7.478 0.000 0.000
-3.739 6.476 0.000
0.000 0.000 5.120
La Ru
6 3
Direct
0.000 0.283 0.000 La
0.000 0.611 0.500 La
0.283 0.000 0.000 La
0.389 0.389 0.500 La
0.611 0.000 0.500 La
0.717 0.717 0.000 La
0.000 0.000 0.500 Ru
0.333 0.667 0.000 Ru
0.667 0.333 0.000 Ru
```


Entry 6:
First-principles (GGA-PBE) data for a relaxed structure of Ta3CrRe, as listed in Alexandria via LeMat-Bulk.

Properties
Density of states at the Fermi level, states/eV/atom: 1.386
E above lowest polymorph, meV per atom: 0
E_form, eV/atom: 1.238
Calculated total energy, eV/atom: -10.2877
Total moment, μB/f.u.: 0.000

Geometry as POSCAR:
```
Ta3CrRe
1.0
4.524 0.000 0.000
0.000 4.524 0.000
0.000 0.000 4.524
Ta Cr Re
3 1 1
Direct
0.000 0.000 0.500 Ta
0.000 0.500 0.000 Ta
0.500 0.000 0.000 Ta
0.000 0.000 0.000 Cr
0.500 0.500 0.500 Re
```